# 1
SrCe2Hg6 | PBE-GGA | relaxed

E_form = -0.3851 eV/atom
space-group type = P6/mmm
D(E_F) = 13.564 states/eV/cell

Cell: 3.4923 8.8482 8.8482 Å, 120.00 90.00 90.00°
Last column: magnetic moment on the atom in μB.
Atoms (fractional coordinates):
Sr: 0.0000 0.0000 0.0000  0.00
Ce: 0.0000 0.3333 0.6667  1.03
Ce: 0.0000 0.6667 0.3333  1.03
Hg: 0.5000 0.3346 0.3346  0.00
Hg: 0.5000 0.6654 0.6654  0.00
Hg: 0.5000 0.0000 0.6654  0.00
Hg: 0.5000 0.6654 0.0000  0.00
Hg: 0.5000 0.3346 0.0000  0.00
Hg: 0.5000 0.0000 0.3346  0.00

***

# 2
Sr2CeHg | PBE-GGA | relaxed

E_form = 0.1553 eV/atom
space-group type = R-3m
D(E_F) = 9.577 states/eV/cell

Cell: 3.8449 3.8449 12.5420 Å, 81.18 81.18 60.00°
Last column: magnetic moment on the atom in μB.
Atoms (fractional coordinates):
Sr: 0.0990 0.0990 0.7030  0.01
Sr: 0.9010 0.9010 0.2970  0.01
Hg: 0.5000 0.5000 0.5000  0.00
Ce: 0.0000 0.0000 0.0000  1.31

***

# 3
SrCeHg4 | PBE-GGA | relaxed

E_form = -0.4023 eV/atom
space-group type = Pmmm
D(E_F) = 7.712 states/eV/cell

Cell: 3.5584 5.1185 8.8763 Å, 90.00 90.00 90.00°
Last column: magnetic moment on the atom in μB.
Atoms (fractional coordinates):
Sr: 0.9986 0.4973 0.9981  0.00
Ce: 0.9986 0.9973 0.4981  1.04
Hg: 0.4985 0.9973 0.1665  0.00
Hg: 0.4985 0.9973 0.8297  0.00
Hg: 0.4987 0.4973 0.6630  0.00
Hg: 0.4986 0.4973 0.3333  0.00

***

# 4
SrCeHg | PBE-GGA | relaxed

E_form = -0.1686 eV/atom
space-group type = R-3m
D(E_F) = 8.776 states/eV/cell

Cell: 4.1933 4.1933 13.9127 Å, 81.33 81.33 60.00°
Atoms (fractional coordinates):
Hg: 0.2647 0.2647 0.2058
Hg: 0.7353 0.7353 0.7942
Ce: 0.3491 0.3491 0.9528
Ce: 0.6509 0.6509 0.0472
Sr: 0.8777 0.8777 0.3669
Sr: 0.1223 0.1223 0.6331

***

# 5
Sr3CeHg12 | PBE-GGA | relaxed

E_form = -0.3527 eV/atom
space-group type = P4/mmm
D(E_F) = 16.841 states/eV/cell

Cell: 4.8454 4.8454 19.2927 Å, 90.00 90.00 90.00°
Last column: magnetic moment on the atom in μB.
Atoms (fractional coordinates):
Sr: 0.0000 0.0000 0.2471  0.01
Sr: 0.0000 0.0000 0.5000  0.00
Sr: 0.0000 0.0000 0.7529  0.01
Ce: 0.0000 0.0000 0.0000  1.10
Hg: 0.5000 0.5000 0.0000  0.03
Hg: 0.5000 0.5000 0.2444  0.01
Hg: 0.5000 0.5000 0.5000  0.00
Hg: 0.5000 0.5000 0.7556  0.01
Hg: 0.5000 0.0000 0.1178  0.02
Hg: 0.5000 0.0000 0.3734  0.00
Hg: 0.5000 0.0000 0.6266  0.00
Hg: 0.5000 0.0000 0.8822  0.02
Hg: 0.0000 0.5000 0.1178  0.02
Hg: 0.0000 0.5000 0.3734  0.00
Hg: 0.0000 0.5000 0.6266  0.00
Hg: 0.0000 0.5000 0.8822  0.02

***

# 6
SrCeHg2 | PBE-GGA | relaxed

E_form = -0.3833 eV/atom
space-group type = Fm-3m
D(E_F) = 7.427 states/eV/cell

Cell: 5.5247 5.5247 5.5247 Å, 60.00 60.00 60.00°
Last column: magnetic moment on the atom in μB.
Atoms (fractional coordinates):
Sr: 0.7500 0.7500 0.7500  0.00
Hg: 0.0000 0.0000 0.0000  0.00
Hg: 0.5000 0.5000 0.5000  0.00
Ce: 0.2500 0.2500 0.2500  0.92

***

# 7
SrCeHg2 | PBE-GGA | relaxed

E_form = -0.4104 eV/atom
space-group type = P4/mmm
D(E_F) = 9.334 states/eV/cell

Cell: 3.8844 3.8844 7.9700 Å, 90.00 90.00 90.00°
Last column: magnetic moment on the atom in μB.
Atoms (fractional coordinates):
Sr: 0.5000 0.5000 0.5000  -0.01
Hg: 0.0000 0.0000 0.7692  0.00
Hg: 0.0000 0.0000 0.2308  0.00
Ce: 0.5000 0.5000 0.0000  0.90

***

# 8
SrCeHg3 | PBE-GGA | relaxed

E_form = -0.3892 eV/atom
space-group type = Cmcm
D(E_F) = 16.336 states/eV/cell

Cell: 3.8444 5.0173 15.2064 Å, 90.00 97.26 90.00°
Last column: magnetic moment on the atom in μB.
Atoms (fractional coordinates):
Sr: 0.9239 0.7500 0.8478  0.00
Sr: 0.0761 0.2500 0.1522  0.00
Ce: 0.2108 0.7500 0.4215  1.01
Ce: 0.7892 0.2500 0.5785  1.01
Hg: 0.6230 0.7500 0.2459  0.00
Hg: 0.3770 0.2500 0.7541  0.00
Hg: 0.5252 0.7500 0.0503  -0.01
Hg: 0.4748 0.2500 0.9497  -0.01
Hg: 0.6804 0.2500 0.3608  0.01
Hg: 0.3196 0.7500 0.6392  0.01

***

# 9
SrCeHg | PBE-GGA | relaxed

E_form = -0.1410 eV/atom
space-group type = I4mm
D(E_F) = 7.980 states/eV/cell

Cell: 3.8572 3.8572 7.5185 Å, 104.86 104.86 90.00°
Last column: magnetic moment on the atom in μB.
Atoms (fractional coordinates):
Sr: 0.0217 0.0217 0.0434  0.04
Hg: 0.6752 0.6752 0.3503  0.01
Ce: 0.3032 0.3032 0.6063  1.16

***

# 10
SrCe5Hg6 | PBE-GGA | relaxed

E_form = -0.3101 eV/atom
space-group type = Immm
D(E_F) = 43.939 states/eV/cell

Cell: 5.4938 7.5939 9.4834 Å, 113.60 106.84 90.00°
Last column: magnetic moment on the atom in μB.
Atoms (fractional coordinates):
Sr: 0.0000 0.0000 0.0000  0.01
Hg: 0.1672 0.4233 0.3344  -0.01
Hg: 0.1672 0.9112 0.3344  -0.01
Hg: 0.5000 0.2623 0.0000  -0.01
Hg: 0.5000 0.7377 0.0000  -0.01
Hg: 0.8328 0.0888 0.6656  -0.01
Hg: 0.8328 0.5767 0.6656  -0.01
Ce: 0.3338 0.8338 0.6675  -1.03
Ce: 0.6701 0.6701 0.3402  -0.99
Ce: 0.0000 0.5000 0.0000  0.82
Ce: 0.3299 0.3299 0.6598  -0.99
Ce: 0.6662 0.1662 0.3325  -1.03

***

# 11
Sr2CeHg8 | PBE-GGA | relaxed

E_form = -0.3619 eV/atom
space-group type = C2/m
D(E_F) = 11.559 states/eV/cell

Cell: 5.2950 7.5887 8.5439 Å, 110.27 108.05 90.00°
Last column: magnetic moment on the atom in μB.
Atoms (fractional coordinates):
Sr: 0.2088 0.6504 0.4177  0.00
Sr: 0.7912 0.3496 0.5823  0.00
Ce: 0.5000 0.0000 0.0000  0.91
Hg: 0.6679 0.8872 0.3359  0.00
Hg: 0.4099 0.5478 0.8197  0.00
Hg: 0.1491 0.1390 0.2983  0.00
Hg: 0.9889 0.2788 0.9777  0.00
Hg: 0.8509 0.8610 0.7017  0.00
Hg: 0.5901 0.4522 0.1803  0.00
Hg: 0.3321 0.1128 0.6641  0.00
Hg: 0.0111 0.7212 0.0223  0.00

***

# 12
Sr2CeHg6 | PBE-GGA | relaxed

E_form = -0.4208 eV/atom
space-group type = P6/mmm
D(E_F) = 9.938 states/eV/cell

Cell: 3.6362 8.8908 8.8908 Å, 120.00 90.00 90.00°
Last column: magnetic moment on the atom in μB.
Atoms (fractional coordinates):
Sr: 0.0000 0.3333 0.6667  0.00
Sr: 0.0000 0.6667 0.3333  0.00
Ce: 0.0000 0.0000 0.0000  1.02
Hg: 0.5000 0.3322 0.3322  0.00
Hg: 0.5000 0.6678 0.6678  0.00
Hg: 0.5000 0.0000 0.6678  0.00
Hg: 0.5000 0.6678 0.0000  0.00
Hg: 0.5000 0.3322 0.0000  0.00
Hg: 0.5000 0.0000 0.3322  0.00

***

# 13
SrCe2Hg | PBE-GGA | relaxed

E_form = 0.2022 eV/atom
space-group type = R-3m
D(E_F) = 11.562 states/eV/cell

Cell: 3.5427 3.5427 12.3539 Å, 81.76 81.76 60.00°
Last column: magnetic moment on the atom in μB.
Atoms (fractional coordinates):
Sr: 0.0000 0.0000 0.0000  -0.02
Hg: 0.5000 0.5000 0.5000  0.00
Ce: 0.0964 0.0964 0.7108  0.92
Ce: 0.9036 0.9036 0.2892  0.92